Density functional theory data (PBE) for a relaxed Tb4Tm19Th6 crystal.

## Properties
E	-4.677	eV per atom
total magnetic moment	0.0	μB per formula unit
DOS(E_F)	45.76	states/eV per cell
SG	I23

abc: 10.6896 10.6896 10.6896
angles: 109.47 109.47 109.47
Positions (direct):
Tb1 0.0000 0.0000 0.3562
Tb2 0.0000 0.3562 0.0000
Tb3 0.3562 0.0000 0.0000
Tb4 0.6438 0.6438 0.6438
Tm1 0.0000 0.0000 0.0000
Tm2 0.0000 0.2633 0.2633
Tm3 0.0000 0.7367 0.7367
Tm4 0.0185 0.2094 0.6768
Tm5 0.1909 0.9815 0.6582
Tm6 0.2094 0.6768 0.0185
Tm7 0.2633 0.0000 0.2633
Tm8 0.2633 0.2633 0.0000
Tm9 0.3232 0.5326 0.3418
Tm10 0.3418 0.3232 0.5326
Tm11 0.4674 0.7906 0.8091
Tm12 0.5326 0.3418 0.3232
Tm13 0.6582 0.1909 0.9815
Tm14 0.6768 0.0185 0.2094
Tm15 0.7367 0.0000 0.7367
Tm16 0.7367 0.7367 0.0000
Tm17 0.7906 0.8091 0.4674
Tm18 0.8091 0.4674 0.7906
Tm19 0.9815 0.6582 0.1909
Th1 0.1297 0.5000 0.6297
Th2 0.3703 0.8703 0.5000
Th3 0.5000 0.3703 0.8703
Th4 0.5000 0.6297 0.1297
Th5 0.6297 0.1297 0.5000
Th6 0.8703 0.5000 0.3703

=====

Density functional theory data (PBE) for a relaxed TbTm2Th6 crystal.

## Properties
E	-6.409	eV per atom
total magnetic moment	0.0	μB per formula unit
DOS(E_F)	25.77	states/eV per cell
SG	P-1

abc: 8.5000 8.5127 9.1954
angles: 93.19 115.57 102.03
Positions (direct):
Tb1 0.2440 0.3488 0.1393
Tb2 0.7560 0.6512 0.8607
Tm1 0.0898 0.9840 0.8603
Tm2 0.4229 0.3175 0.8603
Tm3 0.5771 0.6825 0.1397
Tm4 0.9102 0.0160 0.1397
Th1 0.0198 0.7965 0.4755
Th2 0.1244 0.5796 0.8028
Th3 0.2111 0.7558 0.1976
Th4 0.3117 0.5373 0.5239
Th5 0.3544 0.1298 0.4769
Th6 0.4555 0.9132 0.8030
Th7 0.5445 0.0868 0.1970
Th8 0.6456 0.8702 0.5231
Th9 0.6883 0.4627 0.4761
Th10 0.7889 0.2442 0.8024
Th11 0.8756 0.4204 0.1972
Th12 0.9802 0.2035 0.5245

=====

Density functional theory data (PBE) for a relaxed TbTm2Th crystal.

## Properties
distance to the lowest polymorph of the same formula	0.0101	eV/atom
E	-5.217	eV per atom
total magnetic moment	0.0	μB per formula unit
DOS(E_F)	12.17	states/eV per cell
SG	P-1

abc: 3.5333 6.7083 10.9843
angles: 90.53 90.01 105.15
Positions (direct):
Tb1 0.1304 0.2606 0.4832
Tb2 0.8696 0.7394 0.5168
Tm1 0.2524 0.5060 0.7531
Tm2 0.4789 0.9590 0.2526
Tm3 0.5211 0.0410 0.7474
Tm4 0.7476 0.4940 0.2469
Th1 0.1292 0.2562 0.0176
Th2 0.8708 0.7438 0.9824

=====

Density functional theory data (PBE) for a relaxed Tb3Tm2Th2 crystal.

## Properties
distance to the lowest polymorph of the same formula	0.0000	eV/atom
E	-5.354	eV per atom
total magnetic moment	0.0	μB per formula unit
DOS(E_F)	9.16	states/eV per cell
SG	P-1

abc: 3.5617 7.8951 8.7104
angles: 111.35 90.08 103.02
Positions (direct):
Tb1 0.0000 0.0000 0.0000
Tb2 0.1381 0.2768 0.4318
Tb3 0.8619 0.7232 0.5682
Tm1 0.2836 0.5680 0.8611
Tm2 0.7164 0.4320 0.1389
Th1 0.4276 0.8556 0.2864
Th2 0.5724 0.1444 0.7136

=====

Density functional theory data (PBE) for a relaxed Tb7TmTh3 crystal.

## Properties
distance to the lowest polymorph of the same formula	0.0000	eV/atom
E	-5.222	eV per atom
total magnetic moment	0.0	μB per formula unit
DOS(E_F)	17.59	states/eV per cell
SG	P-1

abc: 6.4449 6.6937 8.6497
angles: 101.37 97.13 96.88
Positions (direct):
Tb1 0.0000 0.0000 0.0000
Tb2 0.0714 0.7143 0.6447
Tb3 0.2055 0.2299 0.7045
Tb4 0.4920 0.7306 0.9251
Tb5 0.5080 0.2694 0.0749
Tb6 0.7945 0.7701 0.2955
Tb7 0.9286 0.2857 0.3553
Tm1 0.0000 0.5000 0.0000
Th1 0.3249 0.9464 0.3344
Th2 0.5000 0.5000 0.5000
Th3 0.6751 0.0536 0.6656

=====

Density functional theory data (PBE) for a relaxed TbTm9Th2 crystal.

## Properties
distance to the lowest polymorph of the same formula	0.0000	eV/atom
E	-4.943	eV per atom
total magnetic moment	0.0	μB per formula unit
DOS(E_F)	19.75	states/eV per cell
SG	P4/mmm

abc: 4.9645 4.9645 14.9026
angles: 90.00 90.00 90.00
Positions (direct):
Tb1 0.0000 0.0000 0.0000
Tm1 0.0000 0.5000 0.1679
Tm2 0.0000 0.5000 0.5000
Tm3 0.0000 0.5000 0.8321
Tm4 0.5000 0.0000 0.1679
Tm5 0.5000 0.0000 0.5000
Tm6 0.5000 0.0000 0.8321
Tm7 0.5000 0.5000 0.0000
Tm8 0.5000 0.5000 0.3329
Tm9 0.5000 0.5000 0.6671
Th1 0.0000 0.0000 0.3342
Th2 0.0000 0.0000 0.6658

=====

Values of theoretical density, in order: 9.25 10.84 9.63 9.59 9.15 9.69, all in g cm⁻³.
Values of formation enthalpy at 0 K, in order: 426 46 32 28 154 33, all in meV per atom.